Entry 1:
Below is SrBe2B2 after structural relaxation, with properties calculated at the PBE level.

Summary:
For the formation energy, the calculation gives 0.27 eV/atom.

abc: 3.7545 3.7545 4.9643
angles: 67.78 67.78 90.00
Last column: nearest neighbours and their distance in Å.
Fractional coordinates of all 5 atoms:
Sr1 0.0000 0.0000 0.0000  8 B 2.80, 8 Be 2.81
B1 0.3921 0.3921 0.2158  1 B 1.81
B2 0.6079 0.6079 0.7842  1 B 1.81
Be1 0.7500 0.2500 0.5000  4 B 2.22
Be2 0.2500 0.7500 0.5000  4 B 2.22


Entry 2:
Below is Sc2BeCu2 after structural relaxation, with properties calculated at the PBE level.

Summary:
For the formation energy, the calculation gives -0.08 eV/atom.

abc: 6.7451 6.7451 3.6004
angles: 90.00 90.00 90.00
Last column: nearest neighbours and their distance in Å.
Fractional coordinates of all 10 atoms:
Sc1 0.1754 0.6754 0.5000  6 Cu 2.59-2.75
Sc2 0.6754 0.8246 0.5000  6 Cu 2.59-2.75
Sc3 0.8246 0.3246 0.5000  6 Cu 2.59-2.75
Sc4 0.3246 0.1754 0.5000  6 Cu 2.59-2.75
Be1 0.0000 0.0000 0.0000  4 Cu 2.65
Be2 0.5000 0.5000 0.0000  4 Cu 2.65
Cu1 0.3704 0.8704 0.0000  1 Cu 2.47, 6 Sc 2.59-2.75, 2 Be 2.65
Cu2 0.8704 0.6296 0.0000  1 Cu 2.47, 6 Sc 2.59-2.75, 2 Be 2.65
Cu3 0.6296 0.1296 0.0000  1 Cu 2.47, 6 Sc 2.59-2.75, 2 Be 2.65
Cu4 0.1296 0.3704 0.0000  1 Cu 2.47, 6 Sc 2.59-2.75, 2 Be 2.65


Entry 3:
Below is Pa6CoIr5 after structural relaxation, with properties calculated at the PBE level.

Summary:
For the formation energy, the calculation gives -0.75 eV/atom.

abc: 10.2494 4.0281 10.2546
angles: 78.63 140.11 101.35
Last column: nearest neighbours and their distance in Å.
Fractional coordinates of all 12 atoms:
Pa1 0.4040 0.0811 0.2416  1 Co 2.73, 5 Ir 2.81-2.86
Pa2 0.9231 0.5774 0.7680  2 Co 2.71, 4 Ir 2.81-2.85
Pa3 0.2431 0.2517 0.7396  6 Ir 2.81-2.84
Pa4 0.7569 0.7483 0.2604  6 Ir 2.81-2.84
Pa5 0.0769 0.4226 0.2320  2 Co 2.71, 4 Ir 2.81-2.85
Pa6 0.5960 0.9189 0.7584  1 Co 2.73, 5 Ir 2.81-2.86
Co1 0.0000 0.0000 0.0000  6 Pa 2.71-2.73
Ir1 0.8317 0.1621 0.5074  6 Pa 2.81-2.86
Ir2 0.6664 0.3323 0.0019  6 Pa 2.81-2.84
Ir3 0.5000 0.5000 0.5000  6 Pa 2.82
Ir4 0.3336 0.6677 0.9981  6 Pa 2.81-2.84
Ir5 0.1683 0.8379 0.4926  6 Pa 2.81-2.86


Entry 4:
Below is Sc2TaSb after structural relaxation, with properties calculated at the PBE level.

Summary:
The calculation puts the formation energy without anion corrections at -0.185 eV/atom.

abc: 5.0280 3.1403 5.3832
angles: 89.69 90.00 90.00
Last column: nearest neighbours and their distance in Å.
Fractional coordinates of all 4 atoms:
Sb1 0.5000 0.6248 0.7921  8 Sc 3.03-3.22, 2 Ta 3.11, 2 Sb 3.14
Sc1 0.0000 0.1201 0.9453  4 Sb 3.07-3.08, 4 Ta 3.08-3.16, 4 Sc 3.14-3.19
Sc2 0.5000 0.1293 0.3105  4 Sb 3.03-3.22, 4 Ta 3.06, 4 Sc 3.14-3.19
Ta1 0.0000 0.6258 0.4521  8 Sc 3.06-3.16, 2 Sb 3.11, 2 Ta 3.14


Entry 5:
Below is Zr3TiO after structural relaxation, with properties calculated at the PBE level.

Summary:
The calculation puts the formation energy without anion corrections at 1.110 eV/atom.

abc: 4.9072 4.9072 4.9072
angles: 90.00 90.00 90.00
Last column: nearest neighbours and their distance in Å.
Fractional coordinates of all 5 atoms:
O1 0.5000 0.5000 0.5000  12 Zr 3.47
Zr1 0.0000 0.5000 0.0000  2 Ti 2.45
Zr2 0.0000 0.0000 0.5000  2 Ti 2.45
Zr3 0.5000 0.0000 0.0000  2 Ti 2.45
Ti1 0.0000 0.0000 0.0000  6 Zr 2.45


Entry 6:
Below is ZrSiPO2 after structural relaxation, with properties calculated at the PBE level.

Summary:
The calculation puts the formation energy without anion corrections at -1.294 eV/atom.

abc: 3.6248 3.6248 4.8228
angles: 90.00 90.00 90.00
Last column: nearest neighbours and their distance in Å.
Fractional coordinates of all 5 atoms:
P1 0.0000 0.0000 0.5000  2 Si 2.41, 4 Zr 2.56
Si1 0.0000 0.0000 0.0000  4 O 1.81
O1 0.0000 0.5000 0.0000  2 Si 1.81
O2 0.5000 0.0000 0.0000  2 Si 1.81
Zr1 0.5000 0.5000 0.5000  4 P 2.56


Entry 7:
Below is Cd2RhAu after structural relaxation, with properties calculated at the PBE level.

Summary:
For the formation energy, the calculation gives 0.05 eV/atom.

abc: 9.8898 9.8898 9.8898
angles: 17.22 17.22 17.22
Last column: nearest neighbours and their distance in Å.
Fractional coordinates of all 4 atoms:
Cd1 0.9961 0.9961 0.9961  9 Cd 2.96-3.27, 3 Au 3.00
Cd2 0.7583 0.7583 0.7583  3 Rh 2.80, 6 Cd 2.96
Rh1 0.5007 0.5007 0.5007  3 Cd 2.80, 3 Au 2.84, 6 Rh 2.96
Au1 0.2449 0.2449 0.2449  3 Rh 2.84, 6 Au 2.96, 3 Cd 3.00


Entry 8:
Below is AlPb3S after structural relaxation, with properties calculated at the PBE level.

Summary:
The calculation puts the formation energy without anion corrections at 0.346 eV/atom.

abc: 5.5079 5.5079 5.5079
angles: 90.00 90.00 90.00
Last column: nearest neighbours and their distance in Å.
Fractional coordinates of all 5 atoms:
Pb1 0.0000 0.5000 0.0000  2 S 2.75
Pb2 0.0000 0.0000 0.5000  2 S 2.75
Pb3 0.5000 0.0000 0.0000  2 S 2.75
S1 0.0000 0.0000 0.0000  6 Pb 2.75
Al1 0.5000 0.5000 0.5000  12 Pb 3.89


Entry 9:
Below is HfPdPb3 after structural relaxation, with properties calculated at the PBE level.

Summary:
For the formation energy, the calculation gives 0.59 eV/atom.

abc: 5.2948 5.2948 5.2948
angles: 90.00 90.00 90.00
Last column: nearest neighbours and their distance in Å.
Fractional coordinates of all 5 atoms:
Pb1 0.0000 0.5000 0.0000  2 Pd 2.65
Pb2 0.0000 0.0000 0.5000  2 Pd 2.65
Pb3 0.5000 0.0000 0.0000  2 Pd 2.65
Hf1 0.5000 0.5000 0.5000  12 Pb 3.74
Pd1 0.0000 0.0000 0.0000  6 Pb 2.65


Entry 10:
Below is LiPrZn3Pd after structural relaxation, with properties calculated at the PBE level.

Summary:
For the formation energy, the calculation gives -0.30 eV/atom.

abc: 5.6784 6.0032 7.0905
angles: 115.04 90.00 90.00
Last column: nearest neighbours and their distance in Å.
Fractional coordinates of all 12 atoms:
Li1 0.2500 0.9248 0.8497  5 Zn 2.45-2.66
Li2 0.7500 0.0752 0.1503  5 Zn 2.45-2.66
Pr1 0.7500 0.2922 0.5843  1 Li 2.79, 2 Pd 2.92
Pr2 0.2500 0.7078 0.4157  1 Li 2.79, 2 Pd 2.92
Zn1 0.2500 0.1322 0.2644  3 Li 2.66-2.93, 1 Pd 2.73, 4 Zn 2.82
Zn2 0.0000 0.2904 0.0000  2 Li 2.45, 1 Zn 2.52
Zn3 0.5000 0.7096 0.0000  2 Li 2.45, 1 Zn 2.52
Zn4 0.5000 0.2904 0.0000  2 Li 2.45, 1 Zn 2.52
Zn5 0.0000 0.7096 0.0000  2 Li 2.45, 1 Zn 2.52
Zn6 0.7500 0.8678 0.7356  3 Li 2.66-2.93, 1 Pd 2.73, 4 Zn 2.82
Pd1 0.2500 0.3447 0.6895  5 Zn 2.73-2.75, 2 Pr 2.92
Pd2 0.7500 0.6553 0.3105  5 Zn 2.73-2.75, 2 Pr 2.92


Entry 11:
Below is Sb2AsRuI after structural relaxation, with properties calculated at the PBE level.

Summary:
The calculation puts the formation energy without anion corrections at 1.354 eV/atom.

abc: 5.3624 5.4182 5.3624
angles: 90.00 90.00 90.00
Last column: nearest neighbours and their distance in Å.
Fractional coordinates of all 5 atoms:
I1 0.0000 0.5000 0.0000  2 As 2.71
Sb1 0.0000 0.0000 0.5000  2 As 2.68
Sb2 0.5000 0.0000 0.0000  2 As 2.68
As1 0.0000 0.0000 0.0000  4 Sb 2.68, 2 I 2.71
Ru1 0.5000 0.5000 0.5000  4 I 3.79, 8 Sb 3.81


Entry 12:
Below is MgRhN3 after structural relaxation, with properties calculated at the PBE level.

Summary:
The calculation puts the formation energy without anion corrections at 1.204 eV/atom.

abc: 3.8781 3.8781 3.8781
angles: 90.00 90.00 90.00
Last column: nearest neighbours and their distance in Å.
Fractional coordinates of all 5 atoms:
Mg1 0.5000 0.5000 0.5000  12 N 2.74
Rh1 0.0000 0.0000 0.0000  6 N 1.94
N1 0.0000 0.5000 0.0000  2 Rh 1.94
N2 0.0000 0.0000 0.5000  2 Rh 1.94
N3 0.5000 0.0000 0.0000  2 Rh 1.94


Number 1: volume 59.1 Å³/cell. Number 2: volume 163.8 Å³/cell. Number 3: volume 265.5 Å³/cell. Number 4: volume 85.0 Å³/cell. Number 5: volume 118.2 Å³/cell. Number 6: volume 63.4 Å³/cell. Number 7: volume 74.0 Å³/cell. Number 8: volume 167.1 Å³/cell. Number 9: volume 148.4 Å³/cell. Number 10: volume 219.0 Å³/cell. Number 11: volume 155.8 Å³/cell. Number 12: volume 58.3 Å³/cell.